Arrangement a

VASP calculation (PBE) on a relaxed Pr3GaIr crystal.

```
Pr3GaIr
1.0
7.3776 -2.3047 0.0000
7.3776 2.3047 0.0000
-5.4341 0.0000 8.4430
Pr Ga Ir
6 2 2
Direct
0.0912 0.0912 0.4349
0.3370 0.3370 0.1798
0.3634 0.3634 0.7994
0.6366 0.6366 0.2006
0.6630 0.6630 0.8202
0.9088 0.9088 0.5651
0.0725 0.0725 0.9405
0.9275 0.9275 0.0595
0.2760 0.2760 0.4135
0.7240 0.7240 0.5865
```

Values from the calculation:
SG = C2/m (12)

Arrangement b

VASP calculation (PBE) on a relaxed Pr3GaIr crystal.

```
Pr3GaIr
1.0
3.5969 2.0767 6.7736
-3.5969 2.0767 6.7736
0.0000 -4.1534 6.7736
Pr Ga Ir
6 2 2
Direct
0.1272 0.3653 0.7307
0.2693 0.8728 0.6347
0.3653 0.7307 0.1272
0.6347 0.2693 0.8728
0.7307 0.1272 0.3653
0.8728 0.6347 0.2693
0.1827 0.1827 0.1827
0.8173 0.8173 0.8173
0.3104 0.3104 0.3104
0.6896 0.6896 0.6896
```

Values from the calculation:
SG = R-3 (148)

Which of them is most stable? Easy: arrangement a.

Arrangement a

VASP calculation (PBE) on a relaxed Pr4GaIr crystal.

```
Pr4GaIr
1.0
4.5545 -7.0031 0.0000
4.5545 7.0031 0.0000
-2.9837 0.0000 5.5169
Pr Ga Ir
8 2 2
Direct
0.0602 0.6970 0.9134
0.2228 0.3563 0.6904
0.3030 0.9398 0.5866
0.3563 0.2228 0.1904
0.6437 0.7772 0.8096
0.6970 0.0602 0.4134
0.7772 0.6437 0.3096
0.9398 0.3030 0.0866
0.3724 0.6276 0.2500
0.6276 0.3724 0.7500
0.0004 0.9996 0.2500
0.9996 0.0004 0.7500
```

Values from the calculation:
SG = C2/c (15)

Arrangement b

VASP calculation (PBE) on a relaxed Pr4GaIr crystal.

```
Pr4GaIr
1.0
0.0000 7.0130 7.0130
7.0130 0.0000 7.0130
7.0130 7.0130 0.0000
Pr Ga Ir
16 4 4
Direct
0.0542 0.0542 0.4458
0.0542 0.4458 0.0542
0.0542 0.4458 0.4458
0.1893 0.1893 0.8107
0.1893 0.8107 0.1893
0.1893 0.8107 0.8107
0.1950 0.6017 0.6017
0.4458 0.0542 0.0542
0.4458 0.0542 0.4458
0.4458 0.4458 0.0542
0.6017 0.1950 0.6017
0.6017 0.6017 0.1950
0.6017 0.6017 0.6017
0.8107 0.1893 0.1893
0.8107 0.1893 0.8107
0.8107 0.8107 0.1893
0.5143 0.8286 0.8286
0.8286 0.5143 0.8286
0.8286 0.8286 0.5143
0.8286 0.8286 0.8286
0.3917 0.3917 0.3917
0.3917 0.3917 0.8248
0.3917 0.8248 0.3917
0.8248 0.3917 0.3917
```

Values from the calculation:
SG = F-43m (216)

Which of them is most stable? Easy: arrangement b.

Arrangement a

VASP calculation (PBE) on a relaxed Pr3GaIr3 crystal.

```
Pr3GaIr3
1.0
8.7183 0.0000 0.0000
-4.3591 7.5503 0.0000
0.0000 0.0000 5.8032
Pr Ga Ir
6 2 6
Direct
0.0499 0.6995 0.2500
0.3005 0.3504 0.2500
0.3504 0.0499 0.7500
0.6496 0.9501 0.2500
0.6995 0.6496 0.7500
0.9501 0.3005 0.7500
0.3333 0.6667 0.7500
0.6667 0.3333 0.2500
0.0601 0.6823 0.7500
0.3177 0.3778 0.7500
0.3778 0.0601 0.2500
0.6222 0.9399 0.7500
0.6823 0.6222 0.2500
0.9399 0.3177 0.2500
```

Values from the calculation:
SG = P6_3/m (176)

Arrangement b

VASP calculation (PBE) on a relaxed Pr3GaIr3 crystal.

```
Pr3GaIr3
1.0
2.1166 -5.3316 0.0000
2.1166 5.3316 0.0000
0.0000 0.0000 14.1324
Pr Ga Ir
6 2 6
Direct
0.0073 0.9927 0.7500
0.2889 0.7111 0.6062
0.2889 0.7111 0.8938
0.7111 0.2889 0.1062
0.7111 0.2889 0.3938
0.9927 0.0073 0.2500
0.0000 0.0000 0.0000
0.0000 0.0000 0.5000
0.2784 0.7216 0.2500
0.4223 0.5777 0.0878
0.4223 0.5777 0.4122
0.5777 0.4223 0.5878
0.5777 0.4223 0.9122
0.7216 0.2784 0.7500
```

Values from the calculation:
SG = Cmcm (63)

Which of them is most stable? Easy: arrangement b.

Arrangement a

VASP calculation (PBE) on a relaxed Ga5IrPt2 crystal.

```
Ga5IrPt2
1.0
12.5189 0.0000 0.0000
0.0000 5.7975 0.0000
0.0000 0.0000 7.3619
Ga Ir Pt
20 4 8
Direct
0.0033 0.2500 0.1020
0.1257 0.2500 0.7095
0.1365 0.5122 0.3396
0.1365 0.9878 0.3396
0.1956 0.7500 0.6817
0.3044 0.2500 0.1817
0.3635 0.0122 0.8396
0.3635 0.4878 0.8396
0.3743 0.7500 0.2095
0.4967 0.7500 0.6020
0.5033 0.2500 0.3980
0.6257 0.2500 0.7905
0.6365 0.5122 0.1604
0.6365 0.9878 0.1604
0.6956 0.7500 0.8183
0.8044 0.2500 0.3183
0.8635 0.0122 0.6604
0.8635 0.4878 0.6604
0.8743 0.7500 0.2905
0.9967 0.7500 0.8980
0.0098 0.7500 0.5379
0.4902 0.2500 0.0379
0.5098 0.7500 0.9621
0.9902 0.2500 0.4621
0.1672 0.5069 0.9890
0.1672 0.9931 0.9890
0.3328 0.0069 0.4890
0.3328 0.4931 0.4890
0.6672 0.5069 0.5110
0.6672 0.9931 0.5110
0.8328 0.0069 0.0110
0.8328 0.4931 0.0110
```

Values from the calculation:
SG = Pnma (62)

Arrangement b

VASP calculation (PBE) on a relaxed Ga5IrPt2 crystal.

```
Ga5IrPt2
1.0
2.3892 -5.6471 0.0000
2.3892 5.6471 0.0000
0.0000 0.0000 12.7798
Ga Ir Pt
10 2 4
Direct
0.0329 0.9671 0.6143
0.0329 0.9671 0.8857
0.2868 0.7132 0.2500
0.3261 0.6739 0.6017
0.3261 0.6739 0.8983
0.6739 0.3261 0.1017
0.6739 0.3261 0.3983
0.7132 0.2868 0.7500
0.9671 0.0329 0.1143
0.9671 0.0329 0.3857
0.1827 0.8173 0.7500
0.8173 0.1827 0.2500
0.1704 0.8296 0.0468
0.1704 0.8296 0.4532
0.8296 0.1704 0.5468
0.8296 0.1704 0.9532
```

Values from the calculation:
SG = Cmcm (63)

Which of them is most stable? Easy: arrangement a.

Arrangement a

VASP calculation (PBE) on a relaxed Ga8IrPt2 crystal.

```
Ga8IrPt2
1.0
9.8542 -1.5557 0.0000
9.8542 1.5557 0.0000
-1.3877 0.0000 6.0506
Ga Ir Pt
8 1 2
Direct
0.0324 0.0324 0.2054
0.2247 0.2247 0.7906
0.3593 0.3593 0.5387
0.4025 0.4025 0.1581
0.5975 0.5975 0.8419
0.6407 0.6407 0.4613
0.7753 0.7753 0.2094
0.9676 0.9676 0.7946
0.5000 0.5000 0.5000
0.1646 0.1646 0.1443
0.8354 0.8354 0.8557
```

Values from the calculation:
SG = C2/m (12)

Arrangement b

VASP calculation (PBE) on a relaxed Ga8IrPt2 crystal.

```
Ga8IrPt2
1.0
4.8127 0.0000 0.0000
2.3950 6.2197 0.0000
0.5988 1.0384 6.7028
Ga Ir Pt
8 1 2
Direct
0.0054 0.0834 0.1684
0.2092 0.6534 0.4240
0.2959 0.4169 0.9350
0.3513 0.1326 0.6371
0.6487 0.8674 0.3629
0.7041 0.5831 0.0650
0.7908 0.3466 0.5760
0.9946 0.9166 0.8316
0.5000 0.0000 0.0000
0.4902 0.7002 0.7048
0.5098 0.2998 0.2952
```

Values from the calculation:
SG = P-1 (2)

Which of them is most stable? Easy: arrangement a.

Arrangement a

VASP calculation (PBE) on a relaxed GaIrPt crystal.

```
GaIrPt
1.0
-1.4614 1.4614 10.8544
1.4614 -1.4614 10.8544
1.4614 1.4614 -10.8544
Ga Ir Pt
2 2 2
Direct
0.1323 0.1323 0.0000
0.8677 0.8677 0.0000
0.2944 0.2944 0.0000
0.7056 0.7056 0.0000
0.4397 0.4397 0.0000
0.5603 0.5603 0.0000
```

Values from the calculation:
SG = I4/mmm (139)

Arrangement b

VASP calculation (PBE) on a relaxed GaIrPt crystal.

```
GaIrPt
1.0
-1.4301 1.4301 5.4437
1.4301 -1.4301 5.4437
1.4301 1.4301 -5.4437
Ga Ir Pt
1 1 1
Direct
0.0000 0.0000 0.0000
0.6505 0.6505 0.0000
0.3375 0.3375 0.0000
```

Values from the calculation:
SG = I4mm (107)

Which of them is most stable? Easy: arrangement b.

Arrangement a

VASP calculation (PBE) on a relaxed Ga8Ir2Pt crystal.

```
Ga8Ir2Pt
1.0
6.0231 -3.6727 0.0000
6.0231 3.6727 0.0000
-1.7056 0.0000 4.6052
Ga Ir Pt
8 2 1
Direct
0.0897 0.0897 0.2691
0.1202 0.6785 0.1903
0.3180 0.3180 0.6519
0.3215 0.8798 0.8097
0.6785 0.1202 0.1903
0.6820 0.6820 0.3481
0.8798 0.3215 0.8097
0.9103 0.9103 0.7309
0.2662 0.2662 0.0971
0.7338 0.7338 0.9029
0.5000 0.5000 0.5000
```

Values from the calculation:
SG = C2/m (12)

Arrangement b

VASP calculation (PBE) on a relaxed Ga8Ir2Pt crystal.

```
Ga8Ir2Pt
1.0
6.6037 -1.4917 0.0000
6.6037 1.4917 0.0000
-2.0541 0.0000 9.4369
Ga Ir Pt
8 2 1
Direct
0.0240 0.0240 0.1540
0.1211 0.1211 0.6826
0.3369 0.3369 0.6057
0.3467 0.3467 0.0202
0.6533 0.6533 0.9798
0.6631 0.6631 0.3943
0.8789 0.8789 0.3174
0.9760 0.9760 0.8460
0.2238 0.2238 0.2033
0.7762 0.7762 0.7967
0.5000 0.5000 0.5000
```

Values from the calculation:
SG = C2/m (12)

Which of them is most stable? Easy: arrangement b.

Arrangement a

VASP calculation (PBE) on a relaxed Ga2IrPt2 crystal.

```
Ga2IrPt2
1.0
7.4402 0.0000 0.0000
0.0000 7.4402 0.0000
0.0000 0.0000 2.7995
Ga Ir Pt
4 2 4
Direct
0.1630 0.3370 0.0000
0.3370 0.8370 0.0000
0.6630 0.1630 0.0000
0.8370 0.6630 0.0000
0.0000 0.0000 0.5000
0.5000 0.5000 0.5000
0.1378 0.6378 0.5000
0.3622 0.1378 0.5000
0.6378 0.8622 0.5000
0.8622 0.3622 0.5000
```

Values from the calculation:
SG = P4/mbm (127)

Arrangement b

VASP calculation (PBE) on a relaxed Ga2IrPt2 crystal.

```
Ga2IrPt2
1.0
7.1821 0.0000 0.0000
0.0000 7.1821 0.0000
0.0000 0.0000 2.9712
Ga Ir Pt
4 2 4
Direct
0.1522 0.3478 0.0000
0.3478 0.8478 0.0000
0.6522 0.1522 0.0000
0.8478 0.6522 0.0000
0.0000 0.0000 0.0000
0.5000 0.5000 0.0000
0.1471 0.6471 0.5000
0.3529 0.1471 0.5000
0.6471 0.8529 0.5000
0.8529 0.3529 0.5000
```

Values from the calculation:
SG = P4/mbm (127)

Which of them is most stable? Easy: arrangement b.